{"formula": "TbTh2ReC4", "functional": "PBE", "state": "optimized geometry", "space_group": "Cmcm (63)", "magmom_total_mub_per_fu": 0.00, "crystal_system": "orthorhombic", "total_energy_ev_per_atom": -8.621, "lattice_angstrom": [[3.6080, 0.0000, 0.0000], [-1.8040, 6.0807, 0.0000], [0.0000, 0.0000, 12.8063]], "species": ["Tb", "Tb", "Th", "Th", "Th", "Th", "Re", "Re", "C", "C", "C", "C", "C", "C", "C", "C"], "frac_coords": [[0.1046, 0.2092, 0.7500], [0.8954, 0.7908, 0.2500], [0.3667, 0.7334, 0.5388], [0.6333, 0.2666, 0.0388], [0.6333, 0.2666, 0.4612], [0.3667, 0.7334, 0.9612], [0.8355, 0.6710, 0.7500], [0.1645, 0.3290, 0.2500], [0.2679, 0.5358, 0.1367], [0.7321, 0.4642, 0.6367], [0.7321, 0.4642, 0.8633], [0.2679, 0.5358, 0.3633], [0.0000, 0.0000, 0.5000], [0.0000, 0.0000, 0.0000], [0.4170, 0.8340, 0.7500], [0.5830, 0.1660, 0.2500]]}